5
Lattice="-2.0100 2.1632 6.0432 2.0100 -2.1632 6.0432 2.0100 2.1632 -6.0432" Properties=species:S:1:pos:R:3 comment="PBE LaCdGePt2, relaxed" de_polymorph_mev_per_atom=24.7 ef_ev_per_atom=-0.749 e_tot_ha_per_atom=-0.1932 pbc="T T T"
La 0.0000 0.0000 0.0000
Cd 2.0100 0.0000 3.1328
Ge 0.0000 0.0000 7.5130
Pt 0.0000 0.0000 5.0622
Pt 0.0000 2.1632 2.9901

---

9
Lattice="7.6776 -2.5570 0.0000 7.6776 2.5570 0.0000 -2.5620 0.0000 7.6572" Properties=species:S:1:pos:R:3 comment="PBE Pm4NdSm2Er2, relaxed" ef_ev_per_atom=0.018 e_tot_ha_per_atom=-0.1722 pbc="T T T"
Pm -0.0031 0.0000 2.5410
Pm 2.5490 0.0000 5.1245
Pm 10.2441 0.0000 2.5326
Pm 12.7962 0.0000 5.1162
Nd 7.6776 0.0000 0.0000
Sm 5.1116 0.0000 2.5456
Sm 7.6816 0.0000 5.1116
Er 0.0191 0.0000 7.6528
Er 12.7740 0.0000 0.0044